Material: PmHoLu2
Method: DFT, PBE-GGA
State: relaxed

extended XYZ file:
```
4
Lattice="5.0020 0.0000 0.0000 0.0000 5.0020 0.0000 0.0000 0.0000 4.9408" Properties=species:S:1:pos:R:3 pbc="T T T"
Pm 0.0000 0.0000 0.0000
Ho 2.5010 2.5010 0.0000
Lu 0.0000 2.5010 2.4704
Lu 2.5010 0.0000 2.4704
```

E: -18.25 eV/cell
Energy relative to the elements: 30 meV/atom
Spin magnetization: 0.0 μB/cell
Offset from the most stable computed form: 0.0 meV/atom